(1)
Compound: ThNi12As6
Source: Alexandria via LeMat-Bulk
Functional: PBE
Structure: optimized geometry

space group: No. 166
magnetization: 0.00 μB/atom
formation energy from the elements: -0.254 eV per atom
raw total energy: -109.52 eV per cell

a = 6.728 Å, b = 6.728 Å, c = 6.728 Å
α = 105.06°, β = 105.06°, γ = 105.06°
Fractional coordinates of all 19 atoms:
Th  0.000  0.000  0.000
Ni  0.122  0.500  0.878
Ni  0.122  0.878  0.500
Ni  0.171  0.420  0.420
Ni  0.420  0.171  0.420
Ni  0.420  0.420  0.171
Ni  0.500  0.122  0.878
Ni  0.500  0.878  0.122
Ni  0.580  0.580  0.829
Ni  0.580  0.829  0.580
Ni  0.829  0.580  0.580
Ni  0.878  0.122  0.500
Ni  0.878  0.500  0.122
As  0.251  0.251  0.695
As  0.251  0.695  0.251
As  0.305  0.749  0.749
As  0.695  0.251  0.251
As  0.749  0.305  0.749
As  0.749  0.749  0.305

=====

(2)
Compound: Zr3SBr
Source: Alexandria via LeMat-Bulk
Functional: PBE
Structure: optimized geometry

space group: No. 221
magnetization: 0.00 μB/atom
raw total energy: -32.15 eV per cell

a = 4.898 Å, b = 4.898 Å, c = 4.898 Å
α = 90.00°, β = 90.00°, γ = 90.00°
Fractional coordinates of all 5 atoms:
Zr  0.000  0.000  0.500
Zr  0.000  0.500  0.000
Zr  0.500  0.000  0.000
S  0.000  0.000  0.000
Br  0.500  0.500  0.500